Record 1
The following is a DFT calculation (PBE) of a geometry-optimized Y2CuHOs structure.

Values from the calculation:
For the total energy, the calculation gives -0.241 Ha/atom. The calculated density comes out at 8.359 g/cm3.

a b c (Å): 4.859 4.859 3.639
angles (deg): 90.00 90.00 90.00
Element x y z (fractional)
Y (0.000, 0.500, 0.000)
Y (0.500, 0.000, 0.000)
Cu (0.000, 0.000, 0.500)
H (0.500, 0.500, 0.000)
Os (0.500, 0.500, 0.500)

Record 2
The following is a DFT calculation (PBE) of a geometry-optimized Rb2Mg2UO6 structure.

Values from the calculation:
For the total energy, the calculation gives -0.244 Ha/atom. The calculated density comes out at 4.540 g/cm3.

a b c (Å): 7.088 7.088 7.088
angles (deg): 51.67 51.67 51.67
Element x y z (fractional)
Rb (0.205, 0.205, 0.205)
Rb (0.795, 0.795, 0.795)
Mg (0.399, 0.399, 0.399)
Mg (0.601, 0.601, 0.601)
U (0.000, 0.000, 0.000)
O (0.226, 0.226, 0.757)
O (0.226, 0.757, 0.226)
O (0.243, 0.774, 0.774)
O (0.757, 0.226, 0.226)
O (0.774, 0.243, 0.774)
O (0.774, 0.774, 0.243)

Record 3
The following is a DFT calculation (PBE) of a geometry-optimized Tm4NiAg2 structure.

Values from the calculation:
The formation energy comes out at -0.207 eV per atom. The calculated density comes out at 9.272 g/cm3.

a b c (Å): 8.559 8.559 8.559
angles (deg): 33.51 33.51 33.51
Element x y z (fractional)
Tm (0.122, 0.122, 0.122)
Tm (0.372, 0.372, 0.372)
Tm (0.628, 0.628, 0.628)
Tm (0.878, 0.878, 0.878)
Ni (0.000, 0.000, 0.000)
Ag (0.248, 0.248, 0.248)
Ag (0.752, 0.752, 0.752)

Record 4
The following is a DFT calculation (PBE) of a geometry-optimized CsNiBr4 structure.

Values from the calculation:
For the total energy, the calculation gives -0.110 Ha/atom. The calculated density comes out at 3.691 g/cm3.

a b c (Å): 10.158 10.158 6.899
angles (deg): 109.12 109.12 43.67
Element x y z (fractional)
Cs (0.206, 0.206, 0.192)
Cs (0.794, 0.794, 0.808)
Ni (0.428, 0.428, 0.111)
Ni (0.572, 0.572, 0.889)
Br (0.166, 0.614, 0.287)
Br (0.289, 0.711, 0.000)
Br (0.311, 0.311, 0.794)
Br (0.386, 0.834, 0.713)
Br (0.614, 0.166, 0.287)
Br (0.689, 0.689, 0.206)
Br (0.711, 0.289, 0.000)
Br (0.834, 0.386, 0.713)

Record 5
The following is a DFT calculation (PBE) of a geometry-optimized YSb3F structure.

Values from the calculation:
As for the relative energy among the computed polymorphs: 3.90 eV per formula unit. The calculated density comes out at 4.194 g/cm3.

a b c (Å): 5.722 5.722 5.722
angles (deg): 90.00 90.00 90.00
Element x y z (fractional)
Y (0.000, 0.000, 0.000)
Sb (0.000, 0.000, 0.500)
Sb (0.000, 0.500, 0.000)
Sb (0.500, 0.000, 0.000)
F (0.500, 0.500, 0.500)

Record 6
The following is a DFT calculation (PBE) of a geometry-optimized La4Tb2SmDy2 structure.

Values from the calculation:
The formation energy comes out at 0.026 eV per atom. The calculated density comes out at 7.254 g/cm3.

a b c (Å): 8.155 8.155 8.119
angles (deg): 107.22 107.22 37.01
Element x y z (fractional)
La (0.054, 0.054, 0.331)
La (0.276, 0.276, 0.668)
La (0.724, 0.724, 0.332)
La (0.946, 0.946, 0.669)
Tb (0.388, 0.388, 0.330)
Tb (0.612, 0.612, 0.670)
Sm (0.500, 0.500, 0.000)
Dy (0.168, 0.168, 0.000)
Dy (0.832, 0.832, 0.000)

Record 7
The following is a DFT calculation (PBE) of a geometry-optimized K2MgSiTe4 structure.

Values from the calculation:
For the total energy, the calculation gives -0.118 Ha/atom. The calculated density comes out at 4.207 g/cm3.

a b c (Å): 9.003 9.003 9.003
angles (deg): 126.14 114.81 89.46
Element x y z (fractional)
K (0.000, 0.000, 0.000)
K (0.500, 0.000, 0.000)
K (0.500, 0.000, 0.500)
K (0.500, 0.500, 0.500)
Mg (0.000, 0.500, 0.500)
Mg (0.500, 0.500, 0.000)
Si (0.000, 0.000, 0.500)
Si (0.000, 0.500, 0.000)
Te (0.190, 0.739, 0.451)
Te (0.212, 0.261, 0.951)
Te (0.227, 0.254, 0.527)
Te (0.227, 0.699, 0.973)
Te (0.773, 0.301, 0.027)
Te (0.773, 0.746, 0.473)
Te (0.788, 0.739, 0.049)
Te (0.810, 0.261, 0.549)

Record 8
The following is a DFT calculation (PBE) of a geometry-optimized Nd2GdHo structure.

Values from the calculation:
As for the relative energy among the computed polymorphs: 0.39 eV per formula unit. The formation energy comes out at 0.109 eV per atom. The calculated density comes out at 7.515 g/cm3.

a b c (Å): 5.757 5.757 5.757
angles (deg): 60.00 60.00 60.00
Element x y z (fractional)
Nd (0.250, 0.250, 0.250)
Nd (0.750, 0.750, 0.750)
Gd (0.000, 0.000, 0.000)
Ho (0.500, 0.500, 0.500)

Record 9
The following is a DFT calculation (PBE) of a geometry-optimized RbCeCoS4 structure.

Values from the calculation:
For the total energy, the calculation gives -0.201 Ha/atom. The calculated density comes out at 3.946 g/cm3.

a b c (Å): 6.618 5.896 9.277
angles (deg): 90.00 106.34 90.00
Element x y z (fractional)
Rb (0.242, 0.250, 0.449)
Rb (0.758, 0.750, 0.551)
Ce (0.241, 0.250, 0.947)
Ce (0.759, 0.750, 0.053)
Co (0.274, 0.750, 0.168)
Co (0.726, 0.250, 0.832)
S (0.072, 0.750, 0.317)
S (0.094, 0.750, 0.929)
S (0.491, 0.514, 0.798)
S (0.491, 0.986, 0.798)
S (0.509, 0.014, 0.202)
S (0.509, 0.486, 0.202)
S (0.906, 0.250, 0.071)
S (0.928, 0.250, 0.683)

Record 10
The following is a DFT calculation (PBE) of a geometry-optimized Th5Tl2C structure.

Values from the calculation:
The formation energy comes out at 0.215 eV per atom. The calculated density comes out at 9.652 g/cm3.

a b c (Å): 9.142 9.142 12.259
angles (deg): 90.00 90.00 147.93
Element x y z (fractional)
Th (0.120, 0.880, 0.618)
Th (0.120, 0.880, 0.882)
Th (0.268, 0.732, 0.250)
Th (0.311, 0.689, 0.581)
Th (0.311, 0.689, 0.919)
Th (0.689, 0.311, 0.081)
Th (0.689, 0.311, 0.419)
Th (0.732, 0.268, 0.750)
Th (0.880, 0.120, 0.118)
Th (0.880, 0.120, 0.382)
Tl (0.066, 0.934, 0.132)
Tl (0.066, 0.934, 0.368)
Tl (0.934, 0.066, 0.632)
Tl (0.934, 0.066, 0.868)
C (0.230, 0.770, 0.750)
C (0.770, 0.230, 0.250)

Record 11
The following is a DFT calculation (PBE) of a geometry-optimized Y4BeSe3 structure.

Values from the calculation:
For the total energy, the calculation gives -0.233 Ha/atom. The calculated density comes out at 5.209 g/cm3.

a b c (Å): 7.138 8.163 6.978
angles (deg): 90.00 109.40 90.00
Element x y z (fractional)
Y (0.236, 0.118, 0.001)
Y (0.236, 0.882, 0.501)
Y (0.237, 0.361, 0.487)
Y (0.237, 0.639, 0.987)
Y (0.763, 0.361, 0.013)
Y (0.763, 0.639, 0.513)
Y (0.764, 0.118, 0.499)
Y (0.764, 0.882, 0.999)
Be (0.000, 0.123, 0.250)
Be (0.000, 0.877, 0.750)
Se (0.000, 0.378, 0.750)
Se (0.000, 0.622, 0.250)
Se (0.500, 0.127, 0.750)
Se (0.500, 0.381, 0.250)
Se (0.500, 0.619, 0.750)
Se (0.500, 0.873, 0.250)

Record 12
The following is a DFT calculation (PBE) of a geometry-optimized Tb2PaSn structure.

Values from the calculation:
As for the relative energy among the computed polymorphs: 1.31 eV per formula unit. The formation energy comes out at 0.117 eV per atom. The calculated density comes out at 9.307 g/cm3.

a b c (Å): 11.933 11.933 11.933
angles (deg): 16.47 16.47 16.47
Element x y z (fractional)
Tb (0.089, 0.089, 0.089)
Tb (0.911, 0.911, 0.911)
Pa (0.500, 0.500, 0.500)
Sn (0.000, 0.000, 0.000)